No. 1
## CdHgSeO (PBE-GGA)

Data for a relaxed structure of CdHgSeO.

Unit cell a=6.8347 b=7.6225 c=7.3795 alpha=90.00 beta=90.00 gamma=90.00
Sites, in units of the cell vectors:
Cd: 0.1803 0.3303 0.0486
Cd: 0.8197 0.8303 0.4514
Cd: 0.3197 0.6697 0.5486
Cd: 0.6803 0.1697 0.9514
Hg: 0.3330 0.8715 0.0156
Hg: 0.6670 0.3715 0.4844
Hg: 0.1670 0.1285 0.5156
Hg: 0.8330 0.6285 0.9844
O: 0.4008 0.1315 0.0908
O: 0.5992 0.6315 0.4092
O: 0.0992 0.8685 0.5908
O: 0.9008 0.3685 0.9092
Se: 0.9197 0.9243 0.1064
Se: 0.0803 0.4243 0.3936
Se: 0.5803 0.0757 0.6064
Se: 0.4197 0.5757 0.8936

* energy above the most stable polymorph in this dataset: 20 kJ/mol of formula units
* mass density: 7048 kg/m3
* SG: P2_12_12_1, No. 19

***

No. 2
## CdHg2SeO6 (PBE-GGA)

Data for a relaxed structure of CdHg2SeO6.

Unit cell a=6.9738 b=7.2122 c=7.4417 alpha=74.54 beta=67.67 gamma=63.65
Sites, in units of the cell vectors:
Cd: 0.3333 0.1355 0.2134
Cd: 0.6667 0.8645 0.7866
Hg: 0.3422 0.6376 0.2118
Hg: 0.8449 0.6419 0.2119
Hg: 0.1551 0.3581 0.7881
Hg: 0.6578 0.3624 0.7882
O: 0.5512 0.8017 0.1378
O: 0.0645 0.0759 0.1562
O: 0.6332 0.2164 0.1641
O: 0.1480 0.4726 0.2593
O: 0.7253 0.3256 0.4331
O: 0.7799 0.9159 0.4489
O: 0.2201 0.0841 0.5511
O: 0.2747 0.6744 0.5669
O: 0.8520 0.5274 0.7407
O: 0.3667 0.7836 0.8359
O: 0.9355 0.9241 0.8438
O: 0.4488 0.1983 0.8622
Se: 0.8003 0.1339 0.3062
Se: 0.1997 0.8661 0.6938

* total DFT energy (no corrections): -82.3 eV per cell
* mass density: 7422 kg/m3
* SG: P-1, No. 2

***

No. 3
## CdHgSeO (PBE-GGA)

Data for a relaxed structure of CdHgSeO.

Unit cell a=7.3941 b=7.3941 c=6.2526 alpha=90.00 beta=90.00 gamma=150.29
Sites, in units of the cell vectors:
Cd: 0.8352 0.1648 0.4488
Cd: 0.1648 0.8352 0.9488
Hg: 0.5594 0.4406 0.3976
Hg: 0.4406 0.5594 0.8976
O: 0.5840 0.4160 0.0267
O: 0.4160 0.5840 0.5267
Se: 0.8158 0.1842 0.0195
Se: 0.1842 0.8158 0.5195

* energy above the most stable polymorph in this dataset: 33 kJ/mol of formula units
* mass density: 7998 kg/m3
* SG: Cmc2_1, No. 36

***

No. 4
## CdHgSeO (PBE-GGA)

Data for a relaxed structure of CdHgSeO.

Unit cell a=3.7639 b=6.0118 c=6.9675 alpha=90.00 beta=74.33 gamma=90.00
Sites, in units of the cell vectors:
Cd: 0.8715 0.2500 0.2571
Cd: 0.1285 0.7500 0.7429
Hg: 0.4287 0.7500 0.1427
Hg: 0.5713 0.2500 0.8573
O: 0.0000 0.0000 0.0000
O: 0.0000 0.5000 0.0000
Se: 0.7734 0.7500 0.4531
Se: 0.2266 0.2500 0.5469

* energy above the most stable polymorph in this dataset: 128 kJ/mol of formula units
* mass density: 8926 kg/m3
* SG: Cmcm, No. 63

***

No. 5
## CdHgSeO (PBE-GGA)

Data for a relaxed structure of CdHgSeO.

Unit cell a=5.9110 b=3.8837 c=14.4396 alpha=90.00 beta=90.00 gamma=90.00
Sites, in units of the cell vectors:
Cd: 0.2157 0.7500 0.0909
Cd: 0.7157 0.7500 0.4091
Cd: 0.2843 0.2500 0.5909
Cd: 0.7843 0.2500 0.9091
Hg: 0.6896 0.2500 0.1871
Hg: 0.1896 0.2500 0.3129
Hg: 0.8104 0.7500 0.6871
Hg: 0.3104 0.7500 0.8129
O: 0.2767 0.2500 0.1668
O: 0.7767 0.2500 0.3332
O: 0.2233 0.7500 0.6668
O: 0.7233 0.7500 0.8332
Se: 0.7515 0.7500 0.0628
Se: 0.2515 0.7500 0.4372
Se: 0.7485 0.2500 0.5628
Se: 0.2485 0.2500 0.9372

* energy above the most stable polymorph in this dataset: 35 kJ/mol of formula units
* mass density: 8175 kg/m3
* SG: Pnma, No. 62

***

No. 6
## CdHgTeO (PBE-GGA)

Data for a relaxed structure of CdHgTeO.

Unit cell a=6.1365 b=3.9994 c=15.1892 alpha=90.00 beta=90.00 gamma=90.00
Sites, in units of the cell vectors:
Cd: 0.2103 0.7500 0.1029
Cd: 0.7103 0.7500 0.3971
Cd: 0.2897 0.2500 0.6029
Cd: 0.7897 0.2500 0.8971
Hg: 0.6671 0.2500 0.1916
Hg: 0.1671 0.2500 0.3084
Hg: 0.8329 0.7500 0.6916
Hg: 0.3329 0.7500 0.8084
O: 0.2696 0.2500 0.1701
O: 0.7696 0.2500 0.3299
O: 0.2304 0.7500 0.6701
O: 0.7304 0.7500 0.8299
Te: 0.7459 0.7500 0.0636
Te: 0.2459 0.7500 0.4364
Te: 0.7541 0.2500 0.5636
Te: 0.2541 0.2500 0.9364

* energy above the most stable polymorph in this dataset: 40 kJ/mol of formula units
* mass density: 8136 kg/m3
* SG: Pnma, No. 62

***

No. 7
## CdHgTeO (PBE-GGA)

Data for a relaxed structure of CdHgTeO.

Unit cell a=6.9353 b=7.8794 c=7.9213 alpha=90.00 beta=90.00 gamma=90.00
Sites, in units of the cell vectors:
Cd: 0.2002 0.3220 0.0475
Cd: 0.7998 0.8220 0.4525
Cd: 0.2998 0.6780 0.5475
Cd: 0.7002 0.1780 0.9525
Hg: 0.3533 0.8856 0.0239
Hg: 0.6467 0.3856 0.4761
Hg: 0.1467 0.1144 0.5239
Hg: 0.8533 0.6144 0.9761
O: 0.4287 0.1405 0.0871
O: 0.5713 0.6405 0.4129
O: 0.0713 0.8595 0.5871
O: 0.9287 0.3595 0.9128
Te: 0.9333 0.9160 0.1152
Te: 0.0667 0.4160 0.3848
Te: 0.5667 0.0840 0.6152
Te: 0.4333 0.5840 0.8848

* energy above the most stable polymorph in this dataset: 14 kJ/mol of formula units
* mass density: 7006 kg/m3
* SG: P2_12_12_1, No. 19

***

No. 8
## CdHgTeO (PBE-GGA)

Data for a relaxed structure of CdHgTeO.

Unit cell a=4.2230 b=4.2230 c=10.7526 alpha=90.00 beta=90.00 gamma=90.00
Sites, in units of the cell vectors:
Cd: 0.2500 0.2500 0.4335
Cd: 0.7500 0.7500 0.5665
Hg: 0.7500 0.7500 0.1499
Hg: 0.2500 0.2500 0.8501
O: 0.7500 0.2500 0.5000
O: 0.2500 0.7500 0.5000
Te: 0.2500 0.2500 0.1614
Te: 0.7500 0.7500 0.8386

* energy above the most stable polymorph in this dataset: 13 kJ/mol of formula units
* mass density: 7908 kg/m3
* SG: P4/nmm, No. 129

***

No. 9
## CdHgTeO (PBE-GGA)

Data for a relaxed structure of CdHgTeO.

Unit cell a=4.2882 b=4.2882 c=10.7218 alpha=90.00 beta=90.00 gamma=90.00
Sites, in units of the cell vectors:
Cd: 0.7500 0.7500 0.1316
Cd: 0.2500 0.2500 0.8684
Hg: 0.2500 0.2500 0.4248
Hg: 0.7500 0.7500 0.5752
O: 0.7500 0.2500 0.5000
O: 0.2500 0.7500 0.5000
Te: 0.2500 0.2500 0.1548
Te: 0.7500 0.7500 0.8452

* energy above the most stable polymorph in this dataset: 114 kJ/mol of formula units
* mass density: 7691 kg/m3
* SG: P4/nmm, No. 129

***

No. 10
## CdHgTeO (PBE-GGA)

Data for a relaxed structure of CdHgTeO.

Unit cell a=7.0485 b=8.8178 c=12.6796 alpha=90.00 beta=90.00 gamma=90.00
Sites, in units of the cell vectors:
Cd: 0.0000 0.1226 0.2499
Cd: 0.4999 0.6226 0.2499
Cd: 0.5001 0.1226 0.2501
Cd: 0.0000 0.6226 0.2501
Cd: 0.0000 0.3774 0.7499
Cd: 0.4999 0.8774 0.7499
Cd: 0.5001 0.3774 0.7501
Cd: 0.0000 0.8774 0.7501
Hg: 0.2500 0.3706 0.0489
Hg: 0.2500 0.8706 0.0489
Hg: 0.7500 0.3706 0.4511
Hg: 0.7500 0.8706 0.4511
Hg: 0.2500 0.1294 0.5489
Hg: 0.2500 0.6294 0.5489
Hg: 0.7500 0.1294 0.9511
Hg: 0.7500 0.6294 0.9511
O: 0.2500 0.2363 0.1844
O: 0.2500 0.7363 0.1844
O: 0.7500 0.2363 0.3156
O: 0.7500 0.7363 0.3156
O: 0.2500 0.2637 0.6844
O: 0.2500 0.7637 0.6844
O: 0.7500 0.2637 0.8156
O: 0.7500 0.7637 0.8156
Te: 0.7496 0.4447 0.1169
Te: 0.7504 0.9447 0.1169
Te: 0.2496 0.4447 0.3831
Te: 0.2504 0.9447 0.3831
Te: 0.7496 0.0553 0.6169
Te: 0.7504 0.5553 0.6169
Te: 0.2496 0.0553 0.8831
Te: 0.2504 0.5553 0.8831

* energy above the most stable polymorph in this dataset: 0 kJ/mol of formula units
* mass density: 7697 kg/m3
* SG: Pbcm, No. 57

***

No. 11
## CdHgTeO (PBE-GGA)

Data for a relaxed structure of CdHgTeO.

Unit cell a=4.3329 b=4.3329 c=10.4925 alpha=90.00 beta=90.00 gamma=90.00
Sites, in units of the cell vectors:
Cd: 0.2500 0.2500 0.2751
Cd: 0.7500 0.7500 0.7249
Hg: 0.7500 0.7500 0.1269
Hg: 0.2500 0.2500 0.8731
O: 0.2500 0.2500 0.0813
O: 0.7500 0.7500 0.9187
Te: 0.7500 0.2500 0.5000
Te: 0.2500 0.7500 0.5000

* energy above the most stable polymorph in this dataset: 213 kJ/mol of formula units
* mass density: 7698 kg/m3
* SG: P4/nmm, No. 129

***

No. 12
## CdHgTeO (PBE-GGA)

Data for a relaxed structure of CdHgTeO.

Unit cell a=7.6919 b=7.6919 c=6.4112 alpha=90.00 beta=90.00 gamma=150.17
Sites, in units of the cell vectors:
Cd: 0.3469 0.6531 0.4600
Cd: 0.6531 0.3469 0.9600
Hg: 0.0554 0.9446 0.3916
Hg: 0.9446 0.0554 0.8916
O: 0.0820 0.9180 0.0264
O: 0.9180 0.0820 0.5264
Te: 0.3163 0.6837 0.0145
Te: 0.6837 0.3163 0.5145

* energy above the most stable polymorph in this dataset: 40 kJ/mol of formula units
* mass density: 8038 kg/m3
* SG: Cmc2_1, No. 36

***

No. 13
## CdHgTeO (PBE-GGA)

Data for a relaxed structure of CdHgTeO.

Unit cell a=4.3278 b=4.3278 c=9.6695 alpha=90.00 beta=90.00 gamma=90.00
Sites, in units of the cell vectors:
Cd: 0.7500 0.2500 0.0000
Cd: 0.2500 0.7500 0.0000
Hg: 0.7500 0.7500 0.2341
Hg: 0.2500 0.2500 0.7659
O: 0.7500 0.7500 0.4867
O: 0.2500 0.2500 0.5133
Te: 0.2500 0.2500 0.3213
Te: 0.7500 0.7500 0.6787

* energy above the most stable polymorph in this dataset: 158 kJ/mol of formula units
* mass density: 8373 kg/m3
* SG: P4/nmm, No. 129

***

No. 14
## CdHgTeO (PBE-GGA)

Data for a relaxed structure of CdHgTeO.

Unit cell a=4.0747 b=4.0748 c=12.9871 alpha=90.00 beta=90.00 gamma=120.00
Sites, in units of the cell vectors:
Cd: 0.0000 0.0000 0.4861
Cd: 0.0000 0.0000 0.9861
Hg: 0.3333 0.6667 0.2717
Hg: 0.6667 0.3333 0.7717
O: 0.0000 0.0000 0.3212
O: 0.0000 0.0000 0.8212
Te: 0.6667 0.3334 0.1087
Te: 0.3333 0.6666 0.6087

* energy above the most stable polymorph in this dataset: 86 kJ/mol of formula units
* mass density: 8120 kg/m3
* SG: P6_3mc, No. 186

***

No. 15
## CdHgTeO (PBE-GGA)

Data for a relaxed structure of CdHgTeO.

Unit cell a=7.1145 b=8.0884 c=6.8268 alpha=90.00 beta=90.00 gamma=90.00
Sites, in units of the cell vectors:
Cd: 0.9251 0.3436 0.0729
Cd: 0.4251 0.6564 0.0729
Cd: 0.5749 0.3436 0.5729
Cd: 0.0749 0.6564 0.5729
Hg: 0.2230 0.0969 0.3978
Hg: 0.7230 0.9031 0.3978
Hg: 0.2770 0.0969 0.8978
Hg: 0.7770 0.9031 0.8978
O: 0.0739 0.1000 0.1294
O: 0.5739 0.9000 0.1294
O: 0.4261 0.1000 0.6294
O: 0.9261 0.9000 0.6294
Te: 0.5366 0.3284 0.1499
Te: 0.0366 0.6716 0.1499
Te: 0.9634 0.3284 0.6499
Te: 0.4634 0.6716 0.6499

* energy above the most stable polymorph in this dataset: 42 kJ/mol of formula units
* mass density: 7720 kg/m3
* SG: Pca2_1, No. 29

***

No. 16
## CdHgTeO (PBE-GGA)

Data for a relaxed structure of CdHgTeO.

Unit cell a=7.3766 b=7.3766 c=6.5424 alpha=90.00 beta=90.00 gamma=32.03
Sites, in units of the cell vectors:
Cd: 0.9550 0.9550 0.3595
Cd: 0.0450 0.0450 0.8595
Hg: 0.6700 0.6700 0.4677
Hg: 0.3300 0.3300 0.9677
O: 0.9168 0.9168 0.0376
O: 0.0832 0.0832 0.5376
Te: 0.6705 0.6705 0.0277
Te: 0.3295 0.3295 0.5277

* energy above the most stable polymorph in this dataset: 37 kJ/mol of formula units
* mass density: 8032 kg/m3
* SG: Cmc2_1, No. 36

***

No. 17
## CdHgTeO (PBE-GGA)

Data for a relaxed structure of CdHgTeO.

Unit cell a=4.2323 b=4.2323 c=10.7012 alpha=90.00 beta=90.00 gamma=90.00
Sites, in units of the cell vectors:
Cd: 0.7500 0.7500 0.1155
Cd: 0.2500 0.2500 0.8845
Hg: 0.2500 0.2500 0.2776
Hg: 0.7500 0.7500 0.7224
O: 0.2500 0.2500 0.0786
O: 0.7500 0.7500 0.9214
Te: 0.7500 0.2500 0.5000
Te: 0.2500 0.7500 0.5000

* energy above the most stable polymorph in this dataset: 208 kJ/mol of formula units
* mass density: 7911 kg/m3
* SG: P4/nmm, No. 129

***

No. 18
## CdHgTeO (PBE-GGA)

Data for a relaxed structure of CdHgTeO.

Unit cell a=7.6790 b=13.8233 c=7.8389 alpha=90.00 beta=90.00 gamma=90.00
Sites, in units of the cell vectors:
Cd: 0.7714 0.0618 0.0389
Cd: 0.7286 0.5618 0.0389
Cd: 0.2714 0.0618 0.4611
Cd: 0.2286 0.5618 0.4611
Cd: 0.7714 0.4382 0.5389
Cd: 0.7286 0.9382 0.5389
Cd: 0.2714 0.4382 0.9611
Cd: 0.2286 0.9382 0.9611
Hg: 0.0091 0.2398 0.2497
Hg: 0.4909 0.7398 0.2497
Hg: 0.5091 0.2398 0.2503
Hg: 0.9909 0.7398 0.2503
Hg: 0.0091 0.2602 0.7497
Hg: 0.4909 0.7602 0.7497
Hg: 0.5091 0.2602 0.7503
Hg: 0.9909 0.7602 0.7503
O: 0.7576 0.2130 0.1333
O: 0.7424 0.7130 0.1333
O: 0.2576 0.2130 0.3667
O: 0.2424 0.7130 0.3667
O: 0.7576 0.2870 0.6333
O: 0.7424 0.7870 0.6333
O: 0.2576 0.2870 0.8667
O: 0.2424 0.7870 0.8667
Te: 0.9741 0.4577 0.2377
Te: 0.5259 0.9577 0.2377
Te: 0.4741 0.4577 0.2623
Te: 0.0259 0.9577 0.2623
Te: 0.9741 0.0423 0.7377
Te: 0.5259 0.5423 0.7377
Te: 0.4741 0.0423 0.7623
Te: 0.0259 0.5423 0.7623

* energy above the most stable polymorph in this dataset: 72 kJ/mol of formula units
* mass density: 7290 kg/m3
* SG: Pbca, No. 61

***

No. 19
## CdHgTeO (PBE-GGA)

Data for a relaxed structure of CdHgTeO.

Unit cell a=7.0414 b=7.8182 c=7.2127 alpha=90.00 beta=90.00 gamma=90.00
Sites, in units of the cell vectors:
Cd: 0.2359 0.5608 0.1743
Cd: 0.7641 0.0608 0.3257
Cd: 0.2641 0.4392 0.6743
Cd: 0.7359 0.9392 0.8257
Hg: 0.3396 0.1212 0.0224
Hg: 0.6604 0.6212 0.4776
Hg: 0.1604 0.8788 0.5224
Hg: 0.8396 0.3788 0.9776
O: 0.6516 0.1289 0.0461
O: 0.3484 0.6289 0.4539
O: 0.8484 0.8711 0.5461
O: 0.1516 0.3711 0.9539
Te: 0.0598 0.8883 0.0781
Te: 0.9402 0.3883 0.4219
Te: 0.4402 0.1117 0.5781
Te: 0.5598 0.6117 0.9219

* energy above the most stable polymorph in this dataset: 17 kJ/mol of formula units
* mass density: 7638 kg/m3
* SG: P2_12_12_1, No. 19